[1]
This record from Alexandria describes a geometry-optimized Rb4Ac3TiTe8 structure. The functional is GGA-PBE.

Computed properties:
total energy = -4.3420 eV/atom

The structure in CIF format:
```
data_Rb4Ac3TiTe8
_chemical_formula_sum 'Rb12 Ac9 Ti3 Te24'
_cell_length_a 9.4506
_cell_length_b 9.4506
_cell_length_c 25.7729
_cell_angle_alpha 90.00
_cell_angle_beta 90.00
_cell_angle_gamma 120.00
_symmetry_space_group_name_H-M 'R -3 m'
_symmetry_Int_Tables_number 166
_symmetry_space_group_name_Hall '-R 3 2"'
loop_
_atom_site_label
_atom_site_fract_x
_atom_site_fract_y
_atom_site_fract_z
Rb1 0.0000 0.0000 0.0000
Rb2 0.0000 0.5000 0.0000
Ac1 0.0000 0.5000 0.5000
Ti1 0.0000 0.0000 0.5000
Te1 0.0000 0.0000 0.2397
Te2 0.0334 0.5167 0.2327
```

***

[2]
This record from Alexandria describes a geometry-optimized PmPr4Nd2Y2 structure. The functional is GGA-PBE.

Computed properties:
energy relative to the elements = 0.01 eV/atom

The structure in CIF format:
```
data_PmPr4Nd2Y2
_chemical_formula_sum 'Pm2 Pr8 Nd4 Y4'
_cell_length_a 19.2016
_cell_length_b 3.7049
_cell_length_c 9.8531
_cell_angle_alpha 90.00
_cell_angle_beta 115.73
_cell_angle_gamma 90.00
_symmetry_space_group_name_H-M 'C 1 2/m 1'
_symmetry_Int_Tables_number 12
loop_
_symmetry_equiv_pos_as_xyz
'x,y,z'
'-x,-y,-z'
'-x,y,-z'
'x,-y,z'
'x+1/2,y+1/2,z'
'-x+1/2,-y+1/2,-z'
'-x+1/2,y+1/2,-z'
'x+1/2,-y+1/2,z'
loop_
_atom_site_label
_atom_site_fract_x
_atom_site_fract_y
_atom_site_fract_z
Pm1 0.0000 0.0000 0.0000
Pr1 0.0180 0.5000 0.3345
Pr2 0.1855 0.0000 0.3324
Nd1 0.1668 0.5000 0.9991
Y1 0.1485 0.0000 0.6688
```

***

[3]
This record from Alexandria describes a geometry-optimized BaLaMg2Ru structure. The functional is GGA-PBE.

Computed properties:
energy relative to the elements = -0.12 eV/atom

The structure in CIF format:
```
data_BaLaMg2Ru
_chemical_formula_sum 'Ba1 La1 Mg2 Ru1'
_cell_length_a 5.4403
_cell_length_b 5.4403
_cell_length_c 5.1543
_cell_angle_alpha 90.00
_cell_angle_beta 90.00
_cell_angle_gamma 90.00
_symmetry_space_group_name_H-M 'P 4/m m m'
_symmetry_Int_Tables_number 123
_symmetry_space_group_name_Hall '-P 4 2'
loop_
_atom_site_label
_atom_site_fract_x
_atom_site_fract_y
_atom_site_fract_z
Ba1 0.0000 0.0000 0.0000
La1 0.5000 0.5000 0.0000
Mg1 0.0000 0.5000 0.5000
Ru1 0.5000 0.5000 0.5000
```

***

[4]
This record from Alexandria describes a geometry-optimized Y6Ga3Ni structure. The functional is GGA-PBE.

Computed properties:
energy relative to the elements = -0.36 eV/atom

The structure in CIF format:
```
data_Y6Ga3Ni
_chemical_formula_sum 'Y12 Ga6 Ni2'
_cell_length_a 6.1645
_cell_length_b 8.3513
_cell_length_c 11.6662
_cell_angle_alpha 90.00
_cell_angle_beta 119.31
_cell_angle_gamma 90.00
_symmetry_space_group_name_H-M 'P 1 21/c 1'
_symmetry_Int_Tables_number 14
loop_
_symmetry_equiv_pos_as_xyz
'x,y,z'
'-x,-y,-z'
'-x,y+1/2,-z+1/2'
'x,-y+1/2,z+1/2'
loop_
_atom_site_label
_atom_site_fract_x
_atom_site_fract_y
_atom_site_fract_z
Y1 0.0662 0.1680 0.4371
Y2 0.3201 0.6859 0.4342
Y3 0.3989 0.0479 0.2616
Ga1 0.0000 0.0000 0.0000
Ga2 0.1720 0.1135 0.7585
Ni1 0.5000 0.0000 0.5000
```